A relaxed RbFeO2F crystal. Source: Alexandria via LeMat-Bulk, functional PBE+U.

Lattice parameters (Å, degrees): 4.353 4.353 4.835 90.00 90.00 90.00
Space group P4/mmm (No. 123)
Unique sites:
Rb: 0.000 0.000 0.000 (multiplicity 1)
Fe: 0.500 0.500 0.500 (multiplicity 1)
O: 0.000 0.500 0.000 (multiplicity 2)
F: 0.000 0.000 0.500 (multiplicity 1)

Results
- DOS(E_F): 5.69 states/eV/cell
- Total DFT energy (no corrections): -3.18 eV/atom